No. 1
A relaxed SnH2Se2 crystal. Source: the Alexandria database, functional PBE.

Unit cell a=4.447 b=4.447 c=14.130 alpha=98.45 beta=98.45 gamma=68.55
Element x y z (fractional)
Sn: 0.172 0.828 0.750
Sn: 0.828 0.172 0.250
H: 0.159 0.208 0.577
H: 0.208 0.159 0.077
H: 0.792 0.841 0.923
H: 0.841 0.792 0.423
Se: 0.127 0.680 0.366
Se: 0.320 0.873 0.134
Se: 0.680 0.127 0.866
Se: 0.873 0.320 0.634

The spin magnetization comes out at 0.000 μB per formula unit. The calculation puts the total energy at -3.68 eV/atom. Its offset from the most stable computed form is 0.000 eV per atom.


No. 2
A relaxed SnH2Se2 crystal. Source: the Alexandria database, functional PBE.

Unit cell a=4.077 b=4.077 c=7.466 alpha=105.39 beta=105.39 gamma=66.82
Element x y z (fractional)
Sn: 0.000 0.000 0.000
H: 0.480 0.480 0.742
H: 0.520 0.520 0.258
Se: 0.255 0.255 0.730
Se: 0.745 0.745 0.270

The spin magnetization comes out at 0.000 μB per formula unit. The calculation puts the total energy at -3.54 eV/atom. Its offset from the most stable computed form is 0.133 eV per atom.


No. 3
A relaxed SnH2Se2 crystal. Source: the Alexandria database, functional PBE.

Unit cell a=8.068 b=8.068 c=3.247 alpha=90.00 beta=90.00 gamma=90.00
Element x y z (fractional)
Sn: 0.000 0.000 0.000
Sn: 0.500 0.500 0.000
H: 0.136 0.364 0.500
H: 0.364 0.864 0.500
H: 0.636 0.136 0.500
H: 0.864 0.636 0.500
Se: 0.192 0.308 0.000
Se: 0.308 0.808 0.000
Se: 0.692 0.192 0.000
Se: 0.808 0.692 0.000

The spin magnetization comes out at 0.000 μB per formula unit. The calculation puts the total energy at -3.45 eV/atom. Its offset from the most stable computed form is 0.225 eV per atom.


No. 4
A relaxed SrSn2HSe crystal. Source: the Alexandria database, functional PBE.

Unit cell a=5.577 b=5.577 c=5.882 alpha=90.00 beta=90.00 gamma=90.00
Element x y z (fractional)
Sr: 0.000 0.000 0.000
Sn: 0.000 0.500 0.500
Sn: 0.500 0.000 0.500
H: 0.500 0.500 0.000
Se: 0.000 0.000 0.500

The spin magnetization comes out at 0.000 μB per formula unit. The calculation puts the total energy at -2.97 eV/atom.


No. 5
A relaxed TbSn2HSe4 crystal. Source: the Alexandria database, functional PBE.

Unit cell a=7.253 b=4.065 c=7.313 alpha=90.00 beta=108.30 gamma=90.00
Element x y z (fractional)
Tb: 0.000 0.000 0.000
Sn: 0.500 0.000 0.500
Sn: 0.500 0.500 0.000
H: 0.000 0.500 0.500
Se: 0.242 0.500 0.236
Se: 0.255 0.000 0.766
Se: 0.745 0.000 0.234
Se: 0.758 0.500 0.764

The spin magnetization comes out at 0.612 μB per formula unit. The calculation puts the total energy at -4.23 eV/atom.


No. 6
A relaxed SnTe2HSe crystal. Source: the Alexandria database, functional PBE.

Unit cell a=5.556 b=5.556 c=5.625 alpha=90.00 beta=90.00 gamma=90.00
Element x y z (fractional)
Sn: 0.000 0.000 0.000
Te: 0.000 0.500 0.500
Te: 0.500 0.000 0.500
H: 0.500 0.500 0.000
Se: 0.000 0.000 0.500

The spin magnetization comes out at 0.944 μB per formula unit. The calculation puts the total energy at -2.61 eV/atom.